# 1
# Y5Hg4

A geometry-optimized Y5Hg4 structure (GGA-PBE, Alexandria via LeMat-Bulk).

Calculated values
N(E_F)   21.0 states/eV/cell
Energy of formation from the pure elements   -0.204 eV/atom
Relative energy among the computed polymorphs   0.222 eV/atom

Structure (CIF):
```
data_Y5Hg4
_chemical_formula_sum 'Y10 Hg8'
_cell_length_a 9.937
_cell_length_b 9.937
_cell_length_c 4.824
_cell_angle_alpha 90.00
_cell_angle_beta 90.00
_cell_angle_gamma 90.00
_symmetry_space_group_name_H-M 'I 4/m m m'
_symmetry_Int_Tables_number 139
_symmetry_space_group_name_Hall '-I 4 2'
loop_
_atom_site_label
_atom_site_fract_x
_atom_site_fract_y
_atom_site_fract_z
Y1 0.000 0.000 0.000
Y2 0.172 0.172 0.500
Hg1 0.000 0.326 0.000
```


# 2
# Tc2Os

A geometry-optimized Tc2Os structure (GGA-PBE, Alexandria via LeMat-Bulk).

Calculated values
N(E_F)   20.9 states/eV/cell
Energy of formation from the pure elements   0.642 eV/atom
Relative energy among the computed polymorphs   0.707 eV/atom

Structure (CIF):
```
data_Tc2Os
_chemical_formula_sum 'Tc8 Os4'
_cell_length_a 5.916
_cell_length_b 5.916
_cell_length_c 5.916
_cell_angle_alpha 90.00
_cell_angle_beta 90.00
_cell_angle_gamma 90.00
_symmetry_space_group_name_H-M 'F m -3 m'
_symmetry_Int_Tables_number 225
_symmetry_space_group_name_Hall '-F 4 2 3'
loop_
_atom_site_label
_atom_site_fract_x
_atom_site_fract_y
_atom_site_fract_z
Tc1 0.250 0.250 0.250
Os1 0.000 0.000 0.000
```


# 3
# Pm3Co4Ge4

A geometry-optimized Pm3Co4Ge4 structure (GGA-PBE, Alexandria via LeMat-Bulk).

Calculated values
N(E_F)   12.9 states/eV/cell
Energy of formation from the pure elements   -0.577 eV/atom

Structure (CIF):
```
data_Pm3Co4Ge4
_chemical_formula_sum 'Pm6 Co8 Ge8'
_cell_length_a 7.329
_cell_length_b 7.329
_cell_length_c 7.329
_cell_angle_alpha 90.00
_cell_angle_beta 90.00
_cell_angle_gamma 90.00
_symmetry_space_group_name_H-M 'I -4 3 m'
_symmetry_Int_Tables_number 217
_symmetry_space_group_name_Hall 'I -4 2 3'
loop_
_atom_site_label
_atom_site_fract_x
_atom_site_fract_y
_atom_site_fract_z
Pm1 0.000 0.000 0.500
Co1 0.125 0.125 0.125
Ge1 0.193 0.193 0.807
```


# 4
# Mn2InPb

A geometry-optimized Mn2InPb structure (GGA-PBE, Alexandria via LeMat-Bulk).

Calculated values
N(E_F)   11.0 states/eV/cell
Energy of formation from the pure elements   0.437 eV/atom
Relative energy among the computed polymorphs   0.162 eV/atom

Structure (CIF):
```
data_Mn2InPb
_chemical_formula_sum 'Mn6 In3 Pb3'
_cell_length_a 3.2958
_cell_length_b 3.2958
_cell_length_c 26.8187
_cell_angle_alpha 90.00
_cell_angle_beta 90.00
_cell_angle_gamma 120.00
_symmetry_space_group_name_H-M 'R -3 m'
_symmetry_Int_Tables_number 166
_symmetry_space_group_name_Hall '-R 3 2"'
loop_
_atom_site_label
_atom_site_fract_x
_atom_site_fract_y
_atom_site_fract_z
Mn1 0.0000 0.0000 0.2472
In1 0.0000 0.0000 0.5000
Pb1 0.0000 0.0000 0.0000
```


# 5
# TbNd14Y

A geometry-optimized TbNd14Y structure (GGA-PBE, Alexandria via LeMat-Bulk).

Calculated values
N(E_F)   25.1 states/eV/cell
Energy of formation from the pure elements   0.013 eV/atom

Structure (CIF):
```
data_TbNd14Y
_chemical_formula_sum 'Tb1 Nd14 Y1'
_cell_length_a 7.339
_cell_length_b 7.339
_cell_length_c 10.367
_cell_angle_alpha 90.00
_cell_angle_beta 90.00
_cell_angle_gamma 90.00
_symmetry_space_group_name_H-M 'P 4/m m m'
_symmetry_Int_Tables_number 123
_symmetry_space_group_name_Hall '-P 4 2'
loop_
_atom_site_label
_atom_site_fract_x
_atom_site_fract_y
_atom_site_fract_z
Tb1 0.000 0.000 0.000
Nd1 0.000 0.000 0.500
Nd2 0.000 0.500 0.000
Nd3 0.000 0.500 0.500
Nd4 0.250 0.250 0.248
Nd5 0.500 0.500 0.500
Y1 0.500 0.500 0.000
```


# 6
# CeYSiPd

A geometry-optimized CeYSiPd structure (GGA-PBE, Alexandria via LeMat-Bulk).

Calculated values
N(E_F)   33.4 states/eV/cell
Energy relative to the elements, uncorrected   -0.605 eV per atom

Structure (CIF):
```
data_CeYSiPd
_chemical_formula_sum 'Ce4 Y4 Si4 Pd4'
_cell_length_a 7.141
_cell_length_b 7.141
_cell_length_c 7.141
_cell_angle_alpha 90.00
_cell_angle_beta 90.00
_cell_angle_gamma 90.00
_symmetry_space_group_name_H-M 'F -4 3 m'
_symmetry_Int_Tables_number 216
_symmetry_space_group_name_Hall 'F -4 2 3'
loop_
_atom_site_label
_atom_site_fract_x
_atom_site_fract_y
_atom_site_fract_z
Ce1 0.000 0.000 0.000
Y1 0.000 0.000 0.500
Si1 0.250 0.250 0.250
Pd1 0.250 0.250 0.750
```